[1]
DFT (PBE-GGA) results for a relaxed HoAl3Ga3 crystal.

The structure in POSCAR format:
```
HoAl3Ga3
1.0
-0.377 1.119 8.037
-6.509 -4.847 0.369
4.846 -6.422 1.122
Ho Al Ga
4 12 12
Cartesian
-0.981 -4.882 4.582
1.368 -8.794 1.445
-6.488 -4.296 4.555
2.021 -2.329 8.473
1.593 -6.460 6.290
0.550 -5.692 1.851
-2.545 -7.896 3.874
-1.408 -7.008 6.578
-2.827 -4.449 7.487
-3.605 -3.423 3.379
-3.841 -5.699 2.176
-0.301 -1.496 1.404
2.567 -5.776 3.467
-1.398 -1.818 6.835
-1.783 -8.873 8.328
0.758 -2.313 5.496
-1.410 -7.369 1.383
-3.735 -5.649 5.140
-1.458 -4.023 1.617
-1.535 -1.891 3.872
2.758 -3.956 5.911
0.207 -7.483 4.031
0.005 -4.394 7.278
2.600 -5.392 8.659
1.163 -3.195 3.061
-4.156 -2.650 5.822
-5.587 -4.839 7.496
-1.092 -10.062 2.893
```

Results
E_tot: -26.06 eV/f.u.
SG: No. 198
Energy of formation from the pure elements: -0.17 eV per atom
Density: 5.64 g/cm3
Total moment: 0.0 μB per formula unit
Offset from the most stable computed form: 9.0 meV/atom

---

[2]
DFT (PBE-GGA) results for a relaxed LiCaEuHg crystal.

The structure in POSCAR format:
```
LiCaEuHg
1.0
5.463 0.000 0.000
2.732 4.731 0.000
2.732 1.577 4.461
Hg Ca Li Eu
1 1 1 1
Cartesian
5.463 3.154 2.230
2.732 1.577 1.115
0.000 0.000 0.000
8.195 4.731 3.346
```

Results
E_tot: -15.61 eV/f.u.
SG: No. 216
Energy of formation from the pure elements: -0.28 eV per atom
Density: 5.75 g/cm3
Total moment: 7.5 μB per formula unit

---

[3]
DFT (PBE-GGA) results for a relaxed NaLiMgSi crystal.

The structure in POSCAR format:
```
NaLiMgSi
1.0
4.706 0.000 0.000
2.353 4.075 0.000
2.353 1.358 3.842
Li Na Si Mg
1 1 1 1
Cartesian
4.706 2.717 1.921
2.353 1.358 0.961
7.059 4.075 2.882
0.000 0.000 0.000
```

Results
E_tot: -10.60 eV/f.u.
SG: No. 216
Density: 1.86 g/cm3
Total moment: 0.0 μB per formula unit
Uncorrected formation energy: -88 meV per atom

---

[4]
DFT (PBE-GGA) results for a relaxed KTlAgHg2 crystal.

The structure in POSCAR format:
```
KTlAgHg2
1.0
5.826 0.000 0.000
0.000 5.826 0.000
0.000 0.000 5.486
Tl K Ag Hg
1 1 1 2
Cartesian
0.000 0.000 0.000
2.913 2.913 2.743
0.000 0.000 2.743
2.913 0.000 0.000
0.000 2.913 0.000
```

Results
E_tot: -6.60 eV/f.u.
SG: No. 123
Energy of formation from the pure elements: 0.06 eV per atom
Density: 6.71 g/cm3
Total moment: 0.0 μB per formula unit
Offset from the most stable computed form: 63.5 meV/atom

---

What is the formula in the third record? NaLiMgSi

---

Which formula does entry 3 have? NaLiMgSi

---

Number 1 is which compound? HoAl3Ga3

---

What is the density in the second record? 5.75 g/cm3